P | ## LaCeHo (GGA-PBE)

Data for a geometry-optimized LaCeHo structure.

extended XYZ file:
```
6
Lattice="3.587 0.000 0.000 -0.002 6.191 0.000 -0.005 -2.030 8.616" Properties=species:S:1:pos:R:3 pbc="T T T"
La 0.893 2.601 1.582
La 2.687 1.560 7.035
Ce 0.889 0.477 4.274
Ce 2.691 3.685 4.342
Ho 0.896 -1.519 7.139
Ho 2.684 5.680 1.477
```

Values from the calculation:
symmetry = P-1 (2)

Q | ## LaCeHo (GGA-PBE)

Data for a geometry-optimized LaCeHo structure.

extended XYZ file:
```
6
Lattice="6.550 0.000 0.000 0.000 3.403 0.000 0.000 0.000 8.528" Properties=species:S:1:pos:R:3 pbc="T T T"
La 1.637 0.000 1.344
La 4.912 0.000 7.183
Ce 1.637 1.701 7.183
Ce 4.912 1.701 1.345
Ho 0.000 1.701 4.264
Ho 3.275 1.701 4.264
```

Values from the calculation:
symmetry = Pmma (51)

R | ## LaCeHo (GGA-PBE)

Data for a geometry-optimized LaCeHo structure.

extended XYZ file:
```
6
Lattice="3.566 0.000 0.000 0.000 3.566 0.000 0.000 0.000 14.981" Properties=species:S:1:pos:R:3 pbc="T T T"
La 0.000 0.000 0.000
La 1.783 1.783 7.491
Ce 0.000 0.000 5.102
Ce 1.783 1.783 12.593
Ho 0.000 0.000 10.255
Ho 1.783 1.783 2.765
```

Values from the calculation:
symmetry = I4mm (107)

Stability ranking, top and bottom: P is the most stable and Q is the least stable.

P | ## LaCeHoTh (GGA-PBE)

Data for a geometry-optimized LaCeHoTh structure.

extended XYZ file:
```
16
Lattice="8.042 0.000 0.000 0.000 8.042 0.000 0.000 0.000 8.042" Properties=species:S:1:pos:R:3 pbc="T T T"
La 0.000 0.000 0.000
La 0.000 4.021 4.021
La 4.021 0.000 4.021
La 4.021 4.021 0.000
Ce 2.010 2.010 6.031
Ce 2.010 6.031 2.010
Ce 6.031 2.010 2.010
Ce 6.031 6.031 6.031
Ho 2.010 2.010 2.010
Ho 2.010 6.031 6.031
Ho 6.031 2.010 6.031
Ho 6.031 6.031 2.010
Th 0.000 0.000 4.021
Th 0.000 4.021 0.000
Th 4.021 0.000 0.000
Th 4.021 4.021 4.021
```

Values from the calculation:
symmetry = F-43m (216)

Q | ## LaCeHoTh (GGA-PBE)

Data for a geometry-optimized LaCeHoTh structure.

extended XYZ file:
```
4
Lattice="3.551 0.000 0.000 0.000 3.551 0.000 0.000 0.000 10.060" Properties=species:S:1:pos:R:3 pbc="T T T"
La 0.000 0.000 0.000
Ce 1.776 1.776 7.526
Ho 1.776 1.776 2.751
Th 0.000 0.000 5.184
```

Values from the calculation:
symmetry = P4mm (99)

Stability ranking, top and bottom: Q is the most stable and P is the least stable.

P | ## CeHoLu (GGA-PBE)

Data for a geometry-optimized CeHoLu structure.

extended XYZ file:
```
3
Lattice="3.478 0.000 0.000 -1.739 3.012 0.000 0.000 0.000 8.528" Properties=species:S:1:pos:R:3 pbc="T T T"
Ce 0.000 0.000 0.000
Ho 0.000 2.008 5.677
Lu 1.739 1.004 2.812
```

Values from the calculation:
symmetry = P3m1 (156)

Q | ## CeHoLu (GGA-PBE)

Data for a geometry-optimized CeHoLu structure.

extended XYZ file:
```
6
Lattice="3.487 0.000 0.000 0.000 3.487 0.000 0.000 0.000 14.808" Properties=species:S:1:pos:R:3 pbc="T T T"
Ce 0.000 0.000 0.000
Ce 1.744 1.744 7.404
Ho 0.000 0.000 9.865
Ho 1.744 1.744 2.461
Lu 0.000 0.000 4.983
Lu 1.744 1.744 12.386
```

Values from the calculation:
symmetry = I4mm (107)

Stability ranking, top and bottom: P is the most stable and Q is the least stable.

P | ## CeHoLu2 (GGA-PBE)

Data for a geometry-optimized CeHoLu2 structure.

extended XYZ file:
```
4
Lattice="4.948 0.000 0.000 0.000 4.948 0.000 0.000 0.000 4.881" Properties=species:S:1:pos:R:3 pbc="T T T"
Ce 0.000 0.000 0.000
Ho 2.474 2.474 0.000
Lu 0.000 2.474 2.440
Lu 2.474 0.000 2.440
```

Values from the calculation:
symmetry = P4/mmm (123)

Q | ## CeHoLu2 (GGA-PBE)

Data for a geometry-optimized CeHoLu2 structure.

extended XYZ file:
```
16
Lattice="7.872 0.000 0.000 0.000 7.872 0.000 0.000 0.000 7.872" Properties=species:S:1:pos:R:3 pbc="T T T"
Ce 0.000 0.000 0.000
Ce 0.000 3.936 3.936
Ce 3.936 0.000 3.936
Ce 3.936 3.936 0.000
Ho 0.000 0.000 3.936
Ho 0.000 3.936 0.000
Ho 3.936 0.000 0.000
Ho 3.936 3.936 3.936
Lu 1.968 1.968 1.968
Lu 1.968 1.968 5.904
Lu 1.968 5.904 1.968
Lu 1.968 5.904 5.904
Lu 5.904 1.968 1.968
Lu 5.904 1.968 5.904
Lu 5.904 5.904 1.968
Lu 5.904 5.904 5.904
```

Values from the calculation:
symmetry = Fm-3m (225)

Stability ranking, top and bottom: P is the most stable and Q is the least stable.

P | ## Ce2HoMg (GGA-PBE)

Data for a geometry-optimized Ce2HoMg structure.

extended XYZ file:
```
12
Lattice="3.265 0.000 0.000 -1.632 2.828 0.000 0.000 0.000 37.467" Properties=species:S:1:pos:R:3 pbc="T T T"
Ce 0.000 0.000 3.300
Ce 0.000 0.000 34.168
Ce 0.000 1.885 21.679
Ce 0.000 1.885 28.278
Ce 1.632 0.943 9.190
Ce 1.632 0.943 15.789
Ho 0.000 0.000 18.734
Ho 0.000 1.885 6.245
Ho 1.632 0.943 31.223
Mg 0.000 0.000 0.000
Mg 0.000 1.885 24.978
Mg 1.632 0.943 12.489
```

Values from the calculation:
symmetry = R-3m (166)

Q | ## Ce2HoMg (GGA-PBE)

Data for a geometry-optimized Ce2HoMg structure.

extended XYZ file:
```
4
Lattice="4.710 0.000 0.000 0.000 4.710 0.000 0.000 0.000 5.107" Properties=species:S:1:pos:R:3 pbc="T T T"
Ce 0.000 2.355 0.000
Ce 2.355 0.000 0.000
Ho 0.000 0.000 2.554
Mg 2.355 2.355 2.554
```

Values from the calculation:
symmetry = P4/mmm (123)

Stability ranking, top and bottom: Q is the most stable and P is the least stable.

P | ## Ce2HoMg (GGA-PBE)

Data for a geometry-optimized Ce2HoMg structure.

extended XYZ file:
```
16
Lattice="7.784 0.000 0.000 0.000 7.784 0.000 0.000 0.000 7.784" Properties=species:S:1:pos:R:3 pbc="T T T"
Ce 1.946 1.946 1.946
Ce 1.946 1.946 5.838
Ce 1.946 5.838 1.946
Ce 1.946 5.838 5.838
Ce 5.838 1.946 1.946
Ce 5.838 1.946 5.838
Ce 5.838 5.838 1.946
Ce 5.838 5.838 5.838
Ho 0.000 0.000 0.000
Ho 0.000 3.892 3.892
Ho 3.892 0.000 3.892
Ho 3.892 3.892 0.000
Mg 0.000 0.000 3.892
Mg 0.000 3.892 0.000
Mg 3.892 0.000 0.000
Mg 3.892 3.892 3.892
```

Values from the calculation:
symmetry = Fm-3m (225)

Q | ## Ce2HoMg (GGA-PBE)

Data for a geometry-optimized Ce2HoMg structure.

extended XYZ file:
```
8
Lattice="5.745 0.000 0.000 0.000 3.319 0.000 -1.899 0.000 11.745" Properties=species:S:1:pos:R:3 pbc="T T T"
Ce 0.000 0.000 0.000
Ce 0.010 0.000 5.837
Ce 2.872 1.659 0.000
Ce 2.883 1.659 5.837
Ho -0.944 1.659 8.790
Ho 1.929 0.000 8.790
Mg 1.922 0.000 2.917
Mg 4.794 1.659 2.917
```

Values from the calculation:
symmetry = Cm (8)

R | ## Ce2HoMg (GGA-PBE)

Data for a geometry-optimized Ce2HoMg structure.

extended XYZ file:
```
4
Lattice="3.303 0.000 0.000 0.000 3.303 0.000 0.000 0.000 10.373" Properties=species:S:1:pos:R:3 pbc="T T T"
Ce 0.000 0.000 2.515
Ce 0.000 0.000 7.858
Ho 1.651 1.651 5.187
Mg 1.651 1.651 0.000
```

Values from the calculation:
symmetry = P4/mmm (123)

Stability ranking, top and bottom: R is the most stable and P is the least stable.

P | ## CeHoMg (GGA-PBE)

Data for a geometry-optimized CeHoMg structure.

extended XYZ file:
```
6
Lattice="3.397 0.000 0.000 0.000 3.397 0.000 0.000 0.000 14.743" Properties=species:S:1:pos:R:3 pbc="T T T"
Ce 0.000 0.000 0.000
Ce 1.698 1.698 7.371
Ho 0.000 0.000 9.951
Ho 1.698 1.698 2.580
Mg 0.000 0.000 4.928
Mg 1.698 1.698 12.299
```

Values from the calculation:
symmetry = I4mm (107)

Q | ## CeHoMg (GGA-PBE)

Data for a geometry-optimized CeHoMg structure.

extended XYZ file:
```
6
Lattice="3.372 0.000 0.000 0.000 3.372 0.000 0.000 0.000 14.854" Properties=species:S:1:pos:R:3 pbc="T T T"
Ce 0.843 0.843 3.486
Ce 2.529 2.529 11.367
Ho 0.843 0.843 8.737
Ho 2.529 2.529 6.117
Mg 0.843 0.843 13.835
Mg 2.529 2.529 1.018
```

Values from the calculation:
symmetry = P4/nmm (129)

R | ## CeHoMg (GGA-PBE)

Data for a geometry-optimized CeHoMg structure.

extended XYZ file:
```
3
Lattice="3.398 0.000 0.000 -1.699 2.943 0.000 0.000 0.000 8.496" Properties=species:S:1:pos:R:3 pbc="T T T"
Ce 0.000 0.000 0.000
Ho 1.699 0.981 2.873
Mg 0.000 1.962 5.641
```

Values from the calculation:
symmetry = P3m1 (156)

Stability ranking, top and bottom: P is the most stable and R is the least stable.

P | ## Ce2HoMn (GGA-PBE)

Data for a geometry-optimized Ce2HoMn structure.

extended XYZ file:
```
12
Lattice="3.802 0.000 0.000 -1.901 3.292 0.000 0.000 0.000 25.169" Properties=species:S:1:pos:R:3 pbc="T T T"
Ce 0.000 0.000 0.000
Ce 0.000 0.000 5.603
Ce 0.000 2.195 16.779
Ce 0.000 2.195 22.382
Ce 1.901 1.097 8.390
Ce 1.901 1.097 13.993
Ho 0.000 0.000 19.490
Ho 0.000 2.195 11.100
Ho 1.901 1.097 2.710
Mn 0.000 0.000 16.022
Mn 0.000 2.195 7.632
Mn 1.901 1.097 24.411
```

Values from the calculation:
symmetry = R3m (160)

Q | ## Ce2HoMn (GGA-PBE)

Data for a geometry-optimized Ce2HoMn structure.

extended XYZ file:
```
12
Lattice="3.651 0.000 0.000 -1.826 3.162 0.000 0.000 0.000 26.535" Properties=species:S:1:pos:R:3 pbc="T T T"
Ce 0.000 0.000 5.975
Ce 0.000 0.000 20.560
Ce 0.000 2.108 11.715
Ce 0.000 2.108 23.665
Ce 1.826 1.054 2.870
Ce 1.826 1.054 14.820
Ho 0.000 0.000 0.000
Ho 0.000 2.108 17.690
Ho 1.826 1.054 8.845
Mn 0.000 0.000 13.267
Mn 0.000 2.108 4.422
Mn 1.826 1.054 22.112
```

Values from the calculation:
symmetry = R-3m (166)

R | ## Ce2HoMn (GGA-PBE)

Data for a geometry-optimized Ce2HoMn structure.

extended XYZ file:
```
4
Lattice="3.464 0.000 0.000 0.000 3.464 0.000 0.000 0.000 8.400" Properties=species:S:1:pos:R:3 pbc="T T T"
Ce 0.000 0.000 1.686
Ce 0.000 0.000 6.714
Ho 1.732 1.732 4.200
Mn 1.732 1.732 0.000
```

Values from the calculation:
symmetry = P4/mmm (123)

Stability ranking, top and bottom: R is the most stable and Q is the least stable.